A relaxed structure of Na3MnO3, computed with PBE with a Hubbard U.

Unit cell a=6.717 b=10.040 c=5.957 alpha=90.00 beta=97.11 gamma=90.00
Space group C2/m (No. 12)
Symmetry-distinct sites (fractional):
Na (0.000, 0.184, 0.000)
Na (0.000, 0.257, 0.500)
Na (0.132, 0.500, 0.874)
Mn (0.202, 0.000, 0.625)
O (0.096, 0.000, 0.303)
O (0.170, 0.356, 0.227)

Properties
- crystal system = monoclinic
- calculated total energy (eV/atom) = -5.142